A geometry-optimized TaBeTe2 structure, computed with PBE.

POSCAR file:
```
TaBeTe2
1.0
-1.595 -2.831 1.223
1.445 -1.943 -2.610
5.944 -2.413 2.169
Ta Be Te
1 1 2
Direct
0.500 0.750 0.750
0.500 0.250 0.250
0.000 0.111 0.004
0.000 0.389 0.496
```

Results
- DFT total energy (eV per cell) = -20.8
- space-group type = P2/m, No. 10
- formation energy without anion corrections (eV/f.u.) = 1.04
- crystal system = monoclinic